Record 1
The following is a meta-GGA SCAN calculation of HfPtC3 at its PBEsol-relaxed geometry, from the Alexandria database.

Properties
formation energy from the elements = 237 kJ per mole of atoms
magnetic moment = 0.00 μB/cell
space-group type = Pm-3m, No. 221

Geometry as POSCAR:
```
HfPtC3
1.0
4.1692 0.0000 0.0000
0.0000 4.1692 0.0000
0.0000 0.0000 4.1692
Hf Pt C
1 1 3
direct
0.0000 0.0000 0.0000 Hf
0.5000 0.5000 0.5000 Pt
0.0000 0.0000 0.5000 C
0.5000 0.0000 0.0000 C
0.0000 0.5000 0.0000 C
```

Record 2
The following is a meta-GGA SCAN calculation of MgZnW at its PBEsol-relaxed geometry, from the Alexandria database.

Properties
formation energy from the elements = 152 kJ per mole of atoms
magnetic moment = 2.16 μB/cell
space-group type = F-43m, No. 216

Geometry as POSCAR:
```
MgZnW
1.0
-1.1772 -2.0161 -3.5992
2.5606 -2.9780 -1.7261
-1.1296 -4.1367 0.1299
W Mg Zn
1 1 1
direct
0.0000 0.0000 0.0000 W
0.7500 0.7500 0.7500 Mg
0.5000 0.5000 0.5000 Zn
```

Record 3
The following is a meta-GGA SCAN calculation of TaTcI2O at its PBEsol-relaxed geometry, from the Alexandria database.

Properties
magnetic moment = 5.30 μB/cell
space-group type = P4/mmm, No. 123
formation energy without anion corrections = 0.806 eV per formula unit

Geometry as POSCAR:
```
TaTcI2O
1.0
3.8099 0.0000 0.0000
0.0000 5.5661 0.0000
0.0000 0.0000 5.5661
O Ta I Tc
1 1 2 1
direct
0.5000 0.0000 0.0000 O
0.0000 0.0000 0.0000 Ta
0.0000 0.0000 0.5000 I
0.0000 0.5000 0.0000 I
0.5000 0.5000 0.5000 Tc
```

Record 4
The following is a meta-GGA SCAN calculation of MnCo4As at its PBEsol-relaxed geometry, from the Alexandria database.

Properties
formation energy from the elements = 12 kJ per mole of atoms
magnetic moment = 11.24 μB/cell
space-group type = F-43m, No. 216

Geometry as POSCAR:
```
MnCo4As
1.0
-1.4186 3.7187 -2.3815
-3.7152 2.3854 1.4212
0.5177 4.2430 1.8005
Co Mn As
4 1 1
direct
0.3751 0.3751 0.8747 Co
0.8747 0.3751 0.3751 Co
0.3751 0.8747 0.3751 Co
0.3751 0.3751 0.3751 Co
0.7500 0.7500 0.7500 Mn
0.0000 0.0000 0.0000 As
```

Record 5
The following is a meta-GGA SCAN calculation of Re5Ni24 at its PBEsol-relaxed geometry, from the Alexandria database.

Properties
formation energy from the elements = 7 kJ per mole of atoms
magnetic moment = 9.72 μB/cell
space-group type = I-43m, No. 217

Geometry as POSCAR:
```
Re5Ni24
1.0
7.4530 0.0000 0.0000
-2.4843 7.0267 0.0000
-2.4843 -3.5134 6.0853
Ni Re
24 5
direct
0.5905 0.0000 0.3166 Ni
0.8097 0.0000 0.6219 Ni
0.6834 0.2738 0.6834 Ni
0.2738 0.6834 0.6834 Ni
0.5905 0.3166 0.0000 Ni
0.8122 0.1903 0.1903 Ni
0.0000 0.5905 0.3166 Ni
0.7262 0.4095 0.4095 Ni
0.3781 0.3781 0.1878 Ni
0.8097 0.6219 0.0000 Ni
0.3781 0.1878 0.3781 Ni
0.3166 0.0000 0.5905 Ni
0.0000 0.6219 0.8097 Ni
0.4095 0.4095 0.7262 Ni
0.6219 0.8097 0.0000 Ni
0.3166 0.5905 0.0000 Ni
0.1903 0.1903 0.8122 Ni
0.0000 0.3166 0.5905 Ni
0.6834 0.6834 0.2738 Ni
0.0000 0.8097 0.6219 Ni
0.1878 0.3781 0.3781 Ni
0.1903 0.8122 0.1903 Ni
0.4095 0.7262 0.4095 Ni
0.6219 0.0000 0.8097 Ni
0.0000 0.0000 0.3570 Re
0.6430 0.6430 0.6430 Re
0.0000 0.3570 0.0000 Re
0.0000 0.0000 0.0000 Re
0.3570 0.0000 0.0000 Re
```

Record 6
The following is a meta-GGA SCAN calculation of BeNi2Pb at its PBEsol-relaxed geometry, from the Alexandria database.

Properties
energy above the most stable polymorph in this dataset = 0 meV/atom
formation energy from the elements = 22 kJ per mole of atoms
magnetic moment = 0.00 μB/cell
space-group type = I-4m2, No. 119

Geometry as POSCAR:
```
BeNi2Pb
1.0
-3.5363 0.0478 0.8798
-0.3073 -3.4775 -1.0460
2.8049 0.5500 3.6962
Ni Pb Be
2 1 1
direct
0.7500 0.2500 0.5000 Ni
0.0000 0.0000 0.0000 Ni
0.5000 0.5000 0.0000 Pb
0.2500 0.7500 0.5000 Be
```

Record 7
The following is a meta-GGA SCAN calculation of MnBe2Ag at its PBEsol-relaxed geometry, from the Alexandria database.

Properties
energy above the most stable polymorph in this dataset = 137 meV/atom
formation energy from the elements = 11 kJ per mole of atoms
magnetic moment = 3.65 μB/cell
space-group type = F-43m, No. 216

Geometry as POSCAR:
```
MnBe2Ag
1.0
4.0715 0.0000 0.0000
2.0357 3.5260 0.0000
2.0357 1.1753 3.3244
Ag Mn Be
1 1 2
direct
0.5000 0.5000 0.5000 Ag
0.2500 0.2500 0.2500 Mn
0.7500 0.7500 0.7500 Be
0.0000 0.0000 0.0000 Be
```

Record 8
The following is a meta-GGA SCAN calculation of LiCdRh2 at its PBEsol-relaxed geometry, from the Alexandria database.

Properties
formation energy from the elements = -11 kJ per mole of atoms
magnetic moment = 0.00 μB/cell
space-group type = Cm, No. 8

Geometry as POSCAR:
```
LiCdRh2
1.0
-0.7972 -2.6697 -0.0435
4.6305 0.0841 -0.7646
0.0138 -0.0819 4.7715
Li Cd Rh
1 1 2
direct
0.7468 0.4937 0.2589 Li
0.5049 0.0098 0.4755 Cd
0.9940 0.9879 0.9695 Rh
0.2543 0.5086 0.7961 Rh
```

Record 9
The following is a meta-GGA SCAN calculation of LiAsPt2N at its PBEsol-relaxed geometry, from the Alexandria database.

Properties
magnetic moment = 0.99 μB/cell
space-group type = P4/mmm, No. 123
formation energy without anion corrections = 3.384 eV per formula unit

Geometry as POSCAR:
```
LiAsPt2N
1.0
3.8591 0.0000 0.0000
0.0000 4.6733 0.0000
0.0000 0.0000 4.6733
Pt N As Li
2 1 1 1
direct
0.0000 0.0000 0.5000 Pt
0.0000 0.5000 0.0000 Pt
0.5000 0.0000 0.0000 N
0.0000 0.0000 0.0000 As
0.5000 0.5000 0.5000 Li
```

Record 10
The following is a meta-GGA SCAN calculation of ZnCuP4O12 at its PBEsol-relaxed geometry, from the Alexandria database.

Properties
magnetic moment = 2.00 μB/cell
space-group type = C2/c, No. 15
formation energy without anion corrections = -38.757 eV per formula unit

Geometry as POSCAR:
```
ZnCuP4O12
1.0
-5.8317 -1.2543 -4.2475
2.1329 -6.0268 3.5708
-2.3618 5.0968 7.6875
Zn O P Cu
2 24 8 2
direct
0.3071 0.0571 0.2500 Zn
0.6929 0.9429 0.7500 Zn
0.5280 0.6598 0.3508 O
0.7056 0.7099 0.1695 O
0.2547 0.9226 0.4098 O
0.4640 0.8840 0.1725 O
0.9596 0.4638 0.6695 O
0.1910 0.8228 0.8508 O
0.0128 0.8449 0.0902 O
0.3770 0.2066 0.0907 O
0.5360 0.1160 0.8275 O
0.3841 0.7136 0.5907 O
0.7453 0.0774 0.5902 O
0.9872 0.1551 0.9098 O
0.4720 0.3402 0.6492 O
0.7095 0.4926 0.9500 O
0.0426 0.7595 0.5500 O
0.6230 0.7934 0.9093 O
0.9574 0.2405 0.4500 O
0.0404 0.5362 0.3305 O
0.2115 0.2916 0.3275 O
0.2944 0.2901 0.8305 O
0.2905 0.5074 0.0500 O
0.8090 0.1772 0.1492 O
0.7885 0.7084 0.6725 O
0.6159 0.2864 0.4093 O
0.7970 0.2536 0.5257 P
0.2030 0.7464 0.4743 P
0.0012 0.6987 0.6952 P
0.5035 0.3060 0.8048 P
0.2279 0.2713 0.9743 P
0.4965 0.6940 0.1952 P
0.9988 0.3013 0.3048 P
0.7721 0.7287 0.0257 P
0.5000 0.5000 0.5000 Cu
0.5000 0.0000 0.0000 Cu
```

Record 11
The following is a meta-GGA SCAN calculation of TeIr2Rh at its PBEsol-relaxed geometry, from the Alexandria database.

Properties
magnetic moment = 0.00 μB/cell
space-group type = F-43m, No. 216
formation energy without anion corrections = 1.934 eV per formula unit

Geometry as POSCAR:
```
TeIr2Rh
1.0
4.4678 0.0000 0.0000
2.2339 3.8692 0.0000
2.2339 1.2897 3.6479
Te Ir Rh
1 2 1
direct
0.2500 0.2500 0.2500 Te
0.7500 0.7500 0.7500 Ir
0.0000 0.0000 0.0000 Ir
0.5000 0.5000 0.5000 Rh
```

Record 12
The following is a meta-GGA SCAN calculation of RbTeS2Cl at its PBEsol-relaxed geometry, from the Alexandria database.

Properties
magnetic moment = 0.36 μB/cell
space-group type = P4/mmm, No. 123
formation energy without anion corrections = 4.284 eV per formula unit

Geometry as POSCAR:
```
RbTeS2Cl
1.0
5.5513 0.0000 0.0000
0.0000 5.7008 0.0000
0.0000 0.0000 5.7008
S Cl Rb Te
2 1 1 1
direct
0.0000 0.5000 0.0000 S
0.0000 0.0000 0.5000 S
0.5000 0.0000 0.0000 Cl
0.0000 0.0000 0.0000 Rb
0.5000 0.5000 0.5000 Te
```

Please write out number 11 again, unchanged.
The following is a meta-GGA SCAN calculation of TeIr2Rh at its PBEsol-relaxed geometry, from the Alexandria database.

Properties
magnetic moment = 0.00 μB/cell
space-group type = F-43m, No. 216
formation energy without anion corrections = 1.934 eV per formula unit

Geometry as POSCAR:
```
TeIr2Rh
1.0
4.4678 0.0000 0.0000
2.2339 3.8692 0.0000
2.2339 1.2897 3.6479
Te Ir Rh
1 2 1
direct
0.2500 0.2500 0.2500 Te
0.7500 0.7500 0.7500 Ir
0.0000 0.0000 0.0000 Ir
0.5000 0.5000 0.5000 Rh
```